[1]
Compound: HoTlBi2
Source: the Alexandria database
Functional: GGA-PBE
Structure: optimized geometry

Values from the calculation:
excess energy over the best structure of this formula in the dataset = 0.0 meV/atom
crystal system = tetragonal
E = -16.169 eV/cell
space-group type = P4/mmm (123)
formation energy from the elements = -1.5 eV/f.u.

abc: 4.2021 4.2021 6.8671
angles: 90.00 90.00 90.00
Atoms (fractional coordinates):
Ho1 0.0000 0.0000 0.0000
Tl1 0.0000 0.0000 0.5000
Bi1 0.5000 0.5000 0.2307
Bi2 0.5000 0.5000 0.7693

[2]
Compound: MgMnMoP2
Source: the Alexandria database
Functional: GGA-PBE
Structure: optimized geometry

Values from the calculation:
crystal system = tetragonal
E = -29.590 eV/cell
space-group type = P4/mmm (123)
formation energy from the elements = 2.8 eV/f.u.

abc: 4.2963 4.2963 4.6959
angles: 90.00 90.00 90.00
Atoms (fractional coordinates):
Mg1 0.0000 0.0000 0.0000
Mn1 0.5000 0.5000 0.5000
Mo1 0.5000 0.5000 0.0000
P1 0.0000 0.5000 0.5000
P2 0.5000 0.0000 0.5000

[3]
Compound: La3InRh
Source: the Alexandria database
Functional: GGA-PBE
Structure: optimized geometry

Values from the calculation:
excess energy over the best structure of this formula in the dataset = 0.0 meV/atom
crystal system = monoclinic
E = -54.720 eV/cell
space-group type = C2/m (12)
formation energy from the elements = -2.5 eV/f.u.

abc: 8.5779 8.5779 11.1097
angles: 123.81 123.81 27.47
Atoms (fractional coordinates):
La1 0.0884 0.0884 0.4561
La2 0.3324 0.3324 0.1969
La3 0.3634 0.3634 0.7790
La4 0.6366 0.6366 0.2210
La5 0.6676 0.6676 0.8031
La6 0.9116 0.9116 0.5439
In1 0.0713 0.0713 0.9278
In2 0.9287 0.9287 0.0722
Rh1 0.2707 0.2707 0.4203
Rh2 0.7293 0.7293 0.5797

[4]
Compound: ZrSb2IrI
Source: the Alexandria database
Functional: GGA-PBE
Structure: optimized geometry

Values from the calculation:
excess energy over the best structure of this formula in the dataset = 504.1 meV/atom
crystal system = tetragonal
E = -21.440 eV/cell
space-group type = P4/mmm (123)

abc: 5.5570 5.5570 5.4528
angles: 90.00 90.00 90.00
Atoms (fractional coordinates):
Zr1 0.0000 0.0000 0.0000
Sb1 0.0000 0.5000 0.0000
Sb2 0.5000 0.0000 0.0000
Ir1 0.5000 0.5000 0.5000
I1 0.0000 0.0000 0.5000

[5]
Compound: Ba4PuS5
Source: the Alexandria database
Functional: GGA-PBE
Structure: optimized geometry

Values from the calculation:
crystal system = tetragonal
E = -61.906 eV/cell
space-group type = I4 (79)

abc: 7.7169 7.7169 7.7169
angles: 99.69 99.69 131.57
Atoms (fractional coordinates):
Ba1 0.0976 0.7011 0.7987
Ba2 0.2989 0.0976 0.3965
Ba3 0.7011 0.9024 0.6035
Ba4 0.9024 0.2989 0.2013
Pu1 0.4849 0.4849 0.0000
S1 0.0232 0.0232 0.0000
S2 0.2221 0.4085 0.6290
S3 0.4085 0.7796 0.1865
S4 0.5931 0.2221 0.8135
S5 0.7796 0.5931 0.3710

[6]
Compound: K3In
Source: the Alexandria database
Functional: GGA-PBE
Structure: optimized geometry

Values from the calculation:
excess energy over the best structure of this formula in the dataset = 49.6 meV/atom
crystal system = tetragonal
E = -5.853 eV/cell
space-group type = I4/mmm (139)
formation energy from the elements = 0.2 eV/f.u.

abc: 7.0499 7.0499 7.0499
angles: 131.64 131.64 70.80
Atoms (fractional coordinates):
K1 0.0000 0.0000 0.0000
K2 0.2500 0.7500 0.5000
K3 0.7500 0.2500 0.5000
In1 0.5000 0.5000 0.0000

[7]
Compound: UFeTc2C
Source: the Alexandria database
Functional: GGA-PBE
Structure: optimized geometry

Values from the calculation:
crystal system = tetragonal
E = -50.344 eV/cell
space-group type = P4/mmm (123)
formation energy from the elements = -0.6 eV/f.u.

abc: 4.1922 4.1922 3.8831
angles: 90.00 90.00 90.00
Atoms (fractional coordinates):
U1 0.0000 0.0000 0.0000
Fe1 0.5000 0.5000 0.0000
Tc1 0.0000 0.5000 0.5000
Tc2 0.5000 0.0000 0.5000
C1 0.5000 0.5000 0.5000

[8]
Compound: CrIrRh
Source: the Alexandria database
Functional: GGA-PBE
Structure: optimized geometry

Values from the calculation:
excess energy over the best structure of this formula in the dataset = 295.3 meV/atom
crystal system = tetragonal
E = -25.387 eV/cell
space-group type = I-4m2 (119)
formation energy from the elements = 0.4 eV/f.u.

abc: 4.0231 4.0231 4.0231
angles: 120.09 120.09 89.84
Atoms (fractional coordinates):
Cr1 0.0000 0.0000 0.0000
Ir1 0.7500 0.2500 0.5000
Rh1 0.2500 0.7500 0.5000

Computed Fermi-level density of states (states/eV per cell) in order:
2.95 4.35 9.35 7.45 20.01 3.89 3.21 1.78